Entry 1:
First-principles (PBE) data for a relaxed Li4PtO5 crystal, as listed in Alexandria via LeMat-Bulk.

a = 4.1983 Å, b = 5.1086 Å, c = 5.1086 Å
α = 80.28°, β = 65.74°, γ = 65.74°
Each line ends with the local moment (μB).
Fractional coordinates of all 10 atoms:
Li 0.4075 0.3983 0.7888  0.01
Li 0.8058 0.7888 0.6017  0.01
Li 0.1963 0.2112 0.3983  0.01
Li 0.5946 0.6017 0.2112  0.01
Pt 0.0010 0.0000 0.0000  0.53
O 0.9087 0.3753 0.8093  0.21
O 0.2840 0.8093 0.6247  0.21
O 0.7180 0.1907 0.3753  0.21
O 0.0933 0.6247 0.1907  0.21
O 0.5010 0.0000 0.0000  0.06

Values from the calculation:
As for the formation energy without anion corrections: -1.299 eV per atom. As for the uncorrected energy: -5.15 eV/atom.


Entry 2:
First-principles (PBE) data for a relaxed LaSnHgBi crystal, as listed in Alexandria via LeMat-Bulk.

a = 4.8355 Å, b = 4.7337 Å, c = 4.9895 Å
α = 90.00°, β = 90.00°, γ = 90.00°
Fractional coordinates of all 4 atoms:
La 0.0000 0.5000 0.5000
Sn 0.0000 0.0000 0.0000
Hg 0.5000 0.5000 0.0000
Bi 0.5000 0.0000 0.5000

Values from the calculation:
As for the uncorrected energy: -3.82 eV/atom. As for the formation energy: -0.5400 eV per atom.


Entry 3:
First-principles (PBE) data for a relaxed NbPdSe3 crystal, as listed in Alexandria via LeMat-Bulk.

a = 3.6690 Å, b = 7.4381 Å, c = 7.8265 Å
α = 98.74°, β = 103.56°, γ = 90.00°
Each line ends with the local moment (μB).
Fractional coordinates of all 10 atoms:
Nb 0.7947 0.7620 0.5894  0.27
Nb 0.2053 0.2380 0.4106  0.27
Pd 0.5528 0.6772 0.1057  0.00
Pd 0.4472 0.3228 0.8943  0.00
Se 0.9647 0.7893 0.9294  -0.01
Se 0.0353 0.2107 0.0706  -0.01
Se 0.3359 0.0104 0.6719  -0.01
Se 0.6641 0.9896 0.3281  -0.01
Se 0.1769 0.5885 0.3539  -0.01
Se 0.8231 0.4115 0.6461  -0.01

Values from the calculation:
As for the formation energy without anion corrections: -0.399 eV per atom. As for the uncorrected energy: -5.54 eV/atom.


Entry 4:
First-principles (PBE) data for a relaxed Li27Sb10 crystal, as listed in Alexandria via LeMat-Bulk.

a = 12.2555 Å, b = 12.2555 Å, c = 7.9740 Å
α = 84.02°, β = 84.02°, γ = 142.07°
Fractional coordinates of all 37 atoms:
Li 0.4126 0.8146 0.6467
Li 0.8046 0.1954 0.5000
Li 0.5874 0.1854 0.3533
Li 0.0291 0.2107 0.6168
Li 0.9331 0.3450 0.1135
Li 0.1854 0.5874 0.3533
Li 0.3979 0.6021 0.5000
Li 0.6480 0.6480 0.6152
Li 0.2107 0.0291 0.6168
Li 0.5099 0.7225 0.1185
Li 0.7893 0.9709 0.3832
Li 0.0669 0.6550 0.8865
Li 0.8146 0.4126 0.6467
Li 0.6550 0.0669 0.8865
Li 0.8961 0.1039 0.0000
Li 0.1127 0.1127 0.1433
Li 0.6021 0.3979 0.5000
Li 0.3520 0.3520 0.3848
Li 0.1954 0.8046 0.5000
Li 0.2775 0.4901 0.8815
Li 0.5000 0.5000 0.0000
Li 0.7225 0.5099 0.1185
Li 0.9709 0.7893 0.3832
Li 0.1039 0.8961 0.0000
Li 0.3450 0.9331 0.1135
Li 0.8873 0.8873 0.8567
Li 0.4901 0.2775 0.8815
Sb 0.4364 0.0457 0.7356
Sb 0.0457 0.4364 0.7356
Sb 0.9543 0.5636 0.2644
Sb 0.6522 0.8545 0.7515
Sb 0.5636 0.9543 0.2644
Sb 0.2656 0.2656 0.7616
Sb 0.1455 0.3478 0.2485
Sb 0.8545 0.6522 0.7515
Sb 0.7344 0.7344 0.2384
Sb 0.3478 0.1455 0.2485

Values from the calculation:
As for the formation energy without anion corrections: -0.601 eV per atom. As for the uncorrected energy: -3.11 eV/atom.


Entry 5:
First-principles (PBE) data for a relaxed Nd5Cd4Ga crystal, as listed in Alexandria via LeMat-Bulk.

a = 3.7868 Å, b = 3.7868 Å, c = 19.4827 Å
α = 90.00°, β = 90.00°, γ = 90.00°
Each line ends with the local moment (μB).
Fractional coordinates of all 10 atoms:
Nd 0.5000 0.5000 0.0903  0.02
Nd 0.5000 0.5000 0.2958  0.13
Nd 0.5000 0.5000 0.5000  -0.09
Nd 0.5000 0.5000 0.7042  0.13
Nd 0.5000 0.5000 0.9097  0.02
Cd 0.0000 0.0000 0.1948  0.01
Cd 0.0000 0.0000 0.3985  0.00
Cd 0.0000 0.0000 0.6015  0.00
Cd 0.0000 0.0000 0.8052  0.01
Ga 0.0000 0.0000 0.0000  0.00

Values from the calculation:
As for the uncorrected energy: -3.42 eV/atom. As for the formation energy: -0.3626 eV per atom.


Entry 6:
First-principles (PBE) data for a relaxed ZrTcPt crystal, as listed in Alexandria via LeMat-Bulk.

a = 4.4096 Å, b = 4.4096 Å, c = 4.4096 Å
α = 60.00°, β = 60.00°, γ = 60.00°
Each line ends with the local moment (μB).
Fractional coordinates of all 3 atoms:
Pt 0.0000 0.0000 0.0000  0.06
Tc 0.5000 0.5000 0.5000  0.51
Zr 0.7500 0.7500 0.7500  -0.03

Values from the calculation:
As for the uncorrected energy: -8.03 eV/atom. As for the formation energy: 0.2837 eV per atom.


Entry 7:
First-principles (PBE) data for a relaxed CsKMn2Cl6 crystal, as listed in Alexandria via LeMat-Bulk.

a = 9.7862 Å, b = 9.7862 Å, c = 7.5240 Å
α = 99.58°, β = 99.58°, γ = 87.10°
Each line ends with the local moment (μB).
Fractional coordinates of all 20 atoms:
Cs 0.1846 0.8154 0.2500  0.00
Cs 0.8154 0.1846 0.7500  0.00
K 0.5981 0.4019 0.2500  0.00
K 0.4019 0.5981 0.7500  0.00
Mn 0.3035 0.1269 0.7698  4.37
Mn 0.8731 0.6965 0.7302  4.37
Mn 0.6965 0.8731 0.2302  4.37
Mn 0.1269 0.3035 0.2698  4.37
Cl 0.9062 0.3879 0.1820  0.06
Cl 0.6121 0.0938 0.3180  0.06
Cl 0.0938 0.6121 0.8180  0.06
Cl 0.3879 0.9062 0.6820  0.06
Cl 0.1710 0.1227 0.0168  0.07
Cl 0.8773 0.8290 0.4832  0.07
Cl 0.8290 0.8773 0.9832  0.07
Cl 0.1227 0.1710 0.5168  0.07
Cl 0.2953 0.4710 0.3421  0.05
Cl 0.5290 0.7047 0.1579  0.05
Cl 0.7047 0.5290 0.6579  0.05
Cl 0.4710 0.2953 0.8421  0.05

Values from the calculation:
As for the formation energy without anion corrections: -1.469 eV per atom. As for the uncorrected energy: -4.61 eV/atom.


Entry 8:
First-principles (PBE) data for a relaxed Ba2SrRh2 crystal, as listed in Alexandria via LeMat-Bulk.

a = 8.8150 Å, b = 8.8150 Å, c = 4.0146 Å
α = 90.00°, β = 90.00°, γ = 90.00°
Fractional coordinates of all 10 atoms:
Sr 0.0000 0.0000 0.0000
Sr 0.5000 0.5000 0.0000
Rh 0.3318 0.8318 0.0000
Rh 0.8318 0.6682 0.0000
Rh 0.6682 0.1682 0.0000
Rh 0.1682 0.3318 0.0000
Ba 0.1384 0.6384 0.5000
Ba 0.6384 0.8616 0.5000
Ba 0.8616 0.3616 0.5000
Ba 0.3616 0.1384 0.5000

Values from the calculation:
As for the uncorrected energy: -4.05 eV/atom. As for the formation energy: -0.0077 eV per atom.


What did we get for spin magnetization? Answer: 1.7 0.0 0.3 0.0 0.4 0.6 10.0 0.0 μB/f.u., in the order shown.
What did we get for Fermi-level density of states? Answer: 0.560 0.566 0.901 0.420 1.081 1.581 0.000 0.848 states/eV/atom, in the order shown.
What did we get for theoretical density? Answer: 5.5 9.7 7.1 3.3 7.4 10.5 2.3 6.0 g cm⁻³, in the order shown.